Compound: Pm3Ga9Cu2
Source: Alexandria
Functional: PBE-GGA
Structure: relaxed

Geometry as extended XYZ:
```
14
Lattice="-1.696 -3.894 -0.281 4.850 -4.777 4.693 -4.212 -1.000 7.045" Properties=species:S:1:pos:R:3 pbc="T T T"
Pm 0.000 0.000 0.000
Pm -0.949 -4.497 3.568
Pm -0.109 -5.174 7.890
Ga 0.319 -2.889 5.869
Ga 0.580 -7.905 9.329
Ga -1.638 -1.767 2.128
Ga -1.763 -6.928 9.937
Ga 0.705 -2.743 1.520
Ga 0.962 -7.876 6.620
Ga -2.020 -1.796 4.838
Ga -3.110 -6.178 7.676
Ga 2.052 -3.493 3.781
Cu -2.556 -3.991 6.255
Cu 1.498 -5.680 5.203
```

Calculated values
Final energy ... -4.06 eV per atom
Formation energy ... -0.5081 eV per atom
D(E_F) ... 6.80 states/eV/f.u.
Size of the total moment ... 0.0 Bohr magnetons per cell